Entry 1:
DFT (SCAN) results for ScNbOs2 at its PBEsol-relaxed geometry.

## Properties
As for the symmetry: Fm-3m (225).

Cell lengths 4.473, 4.473, 4.473 Å; angles 60.00, 60.00, 60.00 degrees
Fractional coordinates of all 4 atoms:
1 Nb 0.500 0.500 0.500
2 Os 0.750 0.750 0.750
3 Os 0.250 0.250 0.250
4 Sc 0.000 0.000 0.000


Entry 2:
DFT (SCAN) results for YAl2Se at its PBEsol-relaxed geometry.

## Properties
For the energy relative to the elements, uncorrected, the calculation gives -475 meV per atom. As for the symmetry: Cm (8).

Cell lengths 3.556, 5.058, 5.117 Å; angles 106.49, 110.34, 90.00 degrees
Fractional coordinates of all 4 atoms:
1 Al 0.988 0.924 0.976
2 Al 0.249 0.773 0.498
3 Se 0.506 0.520 0.013
4 Y 0.757 0.283 0.514


Entry 3:
DFT (SCAN) results for Rb2CrSe at its PBEsol-relaxed geometry.

## Properties
For the energy relative to the elements, uncorrected, the calculation gives -378 meV per atom. As for the symmetry: I-42d (122).

Cell lengths 4.817, 9.496, 9.496 Å; angles 86.31, 75.31, 75.31 degrees
Site moments in Bohr magnetons follow the coordinates.
Fractional coordinates of all 8 atoms:
1 Rb 0.875 0.313 0.187  -0.01
2 Rb 0.812 0.813 0.313  -0.01
3 Rb 0.375 0.687 0.813  -0.01
4 Rb 0.938 0.187 0.687  -0.01
5 Se 0.750 0.500 0.500  -0.09
6 Se 0.000 0.000 0.000  -0.09
7 Cr 0.500 0.000 0.000  4.12
8 Cr 0.250 0.500 0.500  4.12


Entry 4:
DFT (SCAN) results for MnAl2Mo at its PBEsol-relaxed geometry.

## Properties
As for the symmetry: P4mm (99).

Cell lengths 3.002, 3.002, 5.983 Å; angles 90.00, 90.00, 90.00 degrees
Site moments in Bohr magnetons follow the coordinates.
Fractional coordinates of all 4 atoms:
1 Mn 0.000 0.000 0.497  0.08
2 Al 0.000 0.000 0.996  -0.01
3 Al 0.500 0.500 0.274  0.00
4 Mo 0.500 0.500 0.733  -0.03


Entry 5:
DFT (SCAN) results for IrSe3O at its PBEsol-relaxed geometry.

## Properties
For the energy relative to the elements, uncorrected, the calculation gives 1087 meV per atom. As for the symmetry: Pm-3m (221).

Cell lengths 4.307, 4.307, 4.307 Å; angles 90.00, 90.00, 90.00 degrees
Fractional coordinates of all 5 atoms:
1 O 0.000 0.000 0.000
2 Se 0.000 0.000 0.500
3 Se 0.000 0.500 0.000
4 Se 0.500 0.000 0.000
5 Ir 0.500 0.500 0.500


Entry 6:
DFT (SCAN) results for La2AuF2 at its PBEsol-relaxed geometry.

## Properties
For the energy relative to the elements, uncorrected, the calculation gives -2758 meV per atom. As for the symmetry: I4/mmm (139).

Cell lengths 3.796, 3.796, 7.465 Å; angles 104.73, 104.73, 90.00 degrees
Fractional coordinates of all 5 atoms:
1 F 0.250 0.750 0.500
2 F 0.750 0.250 0.500
3 Au 0.000 0.000 0.000
4 La 0.631 0.631 0.263
5 La 0.369 0.369 0.737


Entry 7:
DFT (SCAN) results for MgTa2Ir at its PBEsol-relaxed geometry.

## Properties
As for the symmetry: I-4m2 (119).

Cell lengths 3.896, 3.896, 5.154 Å; angles 112.21, 112.21, 90.00 degrees
Fractional coordinates of all 4 atoms:
1 Ir 0.500 0.500 0.000
2 Mg 0.250 0.750 0.500
3 Ta 0.000 0.000 0.000
4 Ta 0.750 0.250 0.500


Entry 8:
DFT (SCAN) results for CuAg2Rh at its PBEsol-relaxed geometry.

## Properties
As for the symmetry: C2/m (12).

Cell lengths 2.653, 4.852, 5.312 Å; angles 115.90, 102.31, 94.58 degrees
Site moments in Bohr magnetons follow the coordinates.
Fractional coordinates of all 4 atoms:
1 Rh 0.000 0.500 0.000  0.77
2 Cu 0.500 0.000 0.000  0.02
3 Ag 0.500 0.500 0.500  -0.01
4 Ag 0.000 0.000 0.500  -0.01


Quick rundown of E, same order as above: -48.38; -16.33; -20.36; -17.40; -26.43; -35.25; -52.39; -27.68 eV/atom